Ho2Al4Cu3Ag | the Alexandria database | PBE-GGA | relaxed; energy relative to the elements = -382 meV per atom; size of the total moment = 0.000 μB/f.u.; crystal system = tetragonal; SG = P-4m2, No. 115
1.0
4.110 0.000 0.000
0.000 4.110 0.000
0.000 0.000 10.599
Ho Al Cu Ag
2 4 3 1
Cartesian
0.000 2.055 2.560
2.055 0.000 8.040
0.000 0.000 0.000
0.000 2.055 6.811
2.055 0.000 3.788
2.055 2.055 0.000
0.000 2.055 9.193
2.055 0.000 1.406
2.055 2.055 5.300
0.000 0.000 5.300